Record 1
The following is a PBE calculation of a relaxed Sr4SbSeBr2 crystal, from Alexandria.

The structure in POSCAR format:
```
Sr4SbSeBr2
1.0
7.8728 0.0000 0.0000
0.0000 4.6632 0.0000
-2.7395 0.0000 7.5315
Sr Sb Se Br
4 1 1 2
Direct
0.2280 0.0000 0.2383
0.2320 0.5000 0.7485
0.7680 0.5000 0.2515
0.7720 0.0000 0.7617
0.0000 0.0000 0.5000
0.0000 0.5000 0.0000
0.5000 0.0000 0.0000
0.5000 0.5000 0.5000
```

Computed properties:
Energy, eV per atom: -3.802

Record 2
The following is a PBE calculation of a relaxed PtC3O crystal, from Alexandria.

The structure in POSCAR format:
```
PtC3O
1.0
3.5572 0.0000 0.0000
0.0000 3.5572 0.0000
0.0000 0.0000 3.5572
Pt C O
1 3 1
Direct
0.0000 0.0000 0.0000
0.0000 0.5000 0.5000
0.5000 0.0000 0.5000
0.5000 0.5000 0.0000
0.5000 0.5000 0.5000
```

Computed properties:
Energy, eV per atom: -4.849

Record 3
The following is a PBE calculation of a relaxed PmScIn crystal, from Alexandria.

The structure in POSCAR format:
```
PmScIn
1.0
-1.7433 1.7433 6.6758
1.7433 -1.7433 6.6758
1.7433 1.7433 -6.6758
Pm Sc In
1 1 1
Direct
0.0000 0.0000 0.0000
0.3143 0.3143 0.0000
0.6731 0.6731 0.0000
```

Computed properties:
Energy, eV per atom: -4.885
Formation energy from the elements, eV per atom: -0.2786

Record 4
The following is a PBE calculation of a relaxed ReIN2F crystal, from Alexandria.

The structure in POSCAR format:
```
ReIN2F
1.0
4.2200 0.0000 0.0000
0.0000 4.2200 0.0000
0.0000 0.0000 4.3749
Re I N F
1 1 2 1
Direct
0.0000 0.0000 0.0000
0.5000 0.5000 0.5000
0.0000 0.5000 0.5000
0.5000 0.0000 0.5000
0.5000 0.5000 0.0000
```

Computed properties:
Energy, eV per atom: -4.303

Record 5
The following is a PBE calculation of a relaxed TmTiZn4 crystal, from Alexandria.

The structure in POSCAR format:
```
TmTiZn4
1.0
3.1251 0.0000 0.0000
0.0000 4.3749 0.0000
0.0000 0.0000 7.5926
Tm Ti Zn
1 1 4
Direct
0.0000 0.0000 0.0000
0.0000 0.5000 0.5000
0.5000 0.0000 0.3414
0.5000 0.0000 0.6586
0.5000 0.5000 0.1794
0.5000 0.5000 0.8206
```

Computed properties:
Energy, eV per atom: -3.137
Formation energy from the elements, eV per atom: -0.2271

Record 6
The following is a PBE calculation of a relaxed SiBPt6 crystal, from Alexandria.

The structure in POSCAR format:
```
SiBPt6
1.0
2.7298 1.5760 4.6869
-2.7298 1.5760 4.6869
0.0000 -3.1521 4.6869
Si B Pt
1 1 6
Direct
0.0000 0.0000 0.0000
0.5000 0.5000 0.5000
0.0648 0.4740 0.7181
0.2819 0.9352 0.5260
0.4740 0.7181 0.0648
0.5260 0.2819 0.9352
0.7181 0.0648 0.4740
0.9352 0.5260 0.2819
```

Computed properties:
Energy, eV per atom: -6.324

Record 7
The following is a PBE calculation of a relaxed SrSi2Pd5Au crystal, from Alexandria.

The structure in POSCAR format:
```
SrSi2Pd5Au
1.0
4.7708 0.0000 0.0000
0.0000 4.7708 0.0000
0.0000 0.0000 7.1162
Sr Si Pd Au
1 2 5 1
Direct
0.0000 0.0000 0.0000
0.5000 0.5000 0.3385
0.5000 0.5000 0.6615
0.0000 0.5000 0.2854
0.0000 0.5000 0.7146
0.5000 0.0000 0.2854
0.5000 0.0000 0.7146
0.5000 0.5000 0.0000
0.0000 0.0000 0.5000
```

Computed properties:
Energy, eV per atom: -5.088

Record 8
The following is a PBE calculation of a relaxed TbZrHg6 crystal, from Alexandria.

The structure in POSCAR format:
```
TbZrHg6
1.0
4.6819 0.0000 0.0000
0.0000 4.6819 0.0000
0.0000 0.0000 8.5196
Tb Zr Hg
1 1 6
Direct
0.0000 0.0000 0.0000
0.0000 0.0000 0.5000
0.0000 0.5000 0.2599
0.0000 0.5000 0.7401
0.5000 0.0000 0.2599
0.5000 0.0000 0.7401
0.5000 0.5000 0.0000
0.5000 0.5000 0.5000
```

Computed properties:
Energy, eV per atom: -2.050
Formation energy from the elements, eV per atom: -0.1767

Record 9
The following is a PBE calculation of a relaxed Pm2NpCrN5 crystal, from Alexandria.

The structure in POSCAR format:
```
Pm2NpCrN5
1.0
1.7269 -6.7786 0.0000
1.7269 6.7786 0.0000
0.0000 0.0000 10.3454
Pm Np Cr N
4 2 2 10
Direct
0.1066 0.8934 0.5000
0.1385 0.8615 0.1292
0.8615 0.1385 0.6292
0.8934 0.1066 0.0000
0.2028 0.7972 0.8288
0.7972 0.2028 0.3288
0.4821 0.5179 0.2712
0.5179 0.4821 0.7712
0.0358 0.9642 0.8396
0.2861 0.7139 0.4650
0.3201 0.6799 0.2018
0.3672 0.6328 0.8171
0.4906 0.5094 0.6039
0.5094 0.4906 0.1039
0.6328 0.3672 0.3171
0.6799 0.3201 0.7018
0.7139 0.2861 0.9650
0.9642 0.0358 0.3396
```

Computed properties:
Energy, eV per atom: -9.270

Record 10
The following is a PBE calculation of a relaxed BiTe2As crystal, from Alexandria.

The structure in POSCAR format:
```
BiTe2As
1.0
2.0993 1.2120 9.4527
-2.0993 1.2120 9.4527
0.0000 -2.4241 9.4527
Bi Te As
1 2 1
Direct
0.0000 0.0000 0.0000
0.4045 0.4045 0.4045
0.5955 0.5955 0.5955
0.5000 0.5000 0.5000
```

Computed properties:
Energy, eV per atom: -3.418

Record 11
The following is a PBE calculation of a relaxed Sc4FeAg3 crystal, from Alexandria.

The structure in POSCAR format:
```
Sc4FeAg3
1.0
3.2529 0.0000 0.0000
0.0000 3.2529 0.0000
0.0000 0.0000 14.3014
Sc Fe Ag
4 1 3
Direct
0.0000 0.0000 0.1036
0.0000 0.0000 0.3710
0.0000 0.0000 0.6290
0.0000 0.0000 0.8964
0.5000 0.5000 0.0000
0.5000 0.5000 0.2391
0.5000 0.5000 0.5000
0.5000 0.5000 0.7609
```

Computed properties:
Energy, eV per atom: -5.522
Formation energy from the elements, eV per atom: -0.2291

Record 12
The following is a PBE calculation of a relaxed KCoAsSe2 crystal, from Alexandria.

The structure in POSCAR format:
```
KCoAsSe2
1.0
5.1094 0.0000 0.0000
0.0000 5.1094 0.0000
0.0000 0.0000 4.4027
K Co As Se
1 1 1 2
Direct
0.0000 0.0000 0.0000
0.5000 0.5000 0.5000
0.5000 0.5000 0.0000
0.0000 0.5000 0.5000
0.5000 0.0000 0.5000
```

Computed properties:
Energy, eV per atom: -4.079